This record from the Alexandria database describes crystalline Er6Si2Os at its relaxed geometry. The functional is PBE-GGA.

Output
* E_form (uncorrected): -0.4909 eV/atom

abc: 9.3303 9.4460 9.7345
angles: 90.00 90.00 90.00
Last column: nearest neighbours and their distance in Å.
Space group Immm (No. 71)
Asymmetric unit:
1 Er 0.0000 0.2077 0.1695 x8  3 Si 2.83-2.95
2 Er 0.1748 0.2389 0.5000 x8  3 Si 2.93-3.02, 1 Os 2.96, 1 Er 3.26
3 Er 0.1869 0.5000 0.2384 x8  2 Os 2.90-3.09, 2 Si 2.94-3.14
4 Si 0.0000 0.0000 0.3795 x4  1 Si 2.35
5 Si 0.1558 0.0000 0.0000 x4  1 Si 2.91, 8 Er 2.93-2.95, 1 Os 3.21
6 Os 0.0000 0.5000 0.0000 x2  8 Er 2.90-3.22
7 Os 0.0000 0.5000 0.5000 x2  8 Er 2.96-3.09, 2 Si 3.21

***

This record from the Alexandria database describes crystalline BaCoAg2Os at its relaxed geometry. The functional is PBE-GGA.

Output
* total energy: -3.668 eV/atom

abc: 4.8733 4.8733 5.3687
angles: 90.00 90.00 90.00
Last column: nearest neighbours and their distance in Å.
Space group P4/mmm (No. 123)
Asymmetric unit:
1 Ba 0.0000 0.0000 0.0000 x1  2 Co 2.68
2 Co 0.0000 0.0000 0.5000 x1  4 Ag 2.44, 2 Ba 2.68
3 Ag 0.0000 0.5000 0.5000 x2  2 Co 2.44
4 Os 0.5000 0.5000 0.0000 x1  4 Ba 3.45, 8 Ag 3.63

***

This record from the Alexandria database describes crystalline PrThZnRu at its relaxed geometry. The functional is PBE-GGA.

Output
* total energy: -5.907 eV/atom

abc: 7.2277 7.2277 7.2277
angles: 90.00 90.00 90.00
Last column: nearest neighbours and their distance in Å.
Space group F-43m (No. 216)
Asymmetric unit:
1 Pr 0.0000 0.0000 0.0000 x4  4 Ru 3.13, 4 Zn 3.13
2 Th 0.0000 0.0000 0.5000 x4  4 Zn 3.13, 4 Ru 3.13
3 Zn 0.2500 0.2500 0.7500 x4  4 Th 3.13, 4 Pr 3.13
4 Ru 0.2500 0.2500 0.2500 x4  4 Th 3.13, 4 Pr 3.13

***

This record from the Alexandria database describes crystalline NdDy2Ho9 at its relaxed geometry. The functional is PBE-GGA.

Output
* total energy: -4.575 eV/atom

abc: 5.0066 5.0066 15.0122
angles: 90.00 90.00 90.00
Last column: nearest neighbours and their distance in Å.
Space group P4/mmm (No. 123)
Asymmetric unit:
1 Nd 0.0000 0.0000 0.0000 x1  12 Ho 3.54-3.56
2 Dy 0.0000 0.0000 0.3342 x2  12 Ho 3.53-3.54
3 Ho 0.0000 0.5000 0.1687 x4  2 Dy 3.53, 8 Ho 3.53-3.56, 2 Nd 3.56
4 Ho 0.0000 0.5000 0.5000 x2  8 Ho 3.52-3.54, 4 Dy 3.53
5 Ho 0.5000 0.5000 0.0000 x1  4 Nd 3.54, 8 Ho 3.56
6 Ho 0.5000 0.5000 0.3348 x2  8 Ho 3.52-3.53, 4 Dy 3.54

***

This record from the Alexandria database describes crystalline AcPaZnRu at its relaxed geometry. The functional is PBE-GGA.

Output
* total energy: -5.989 eV/atom

abc: 7.2283 7.2283 7.2283
angles: 90.00 90.00 90.00
Last column: nearest neighbours and their distance in Å.
Space group F-43m (No. 216)
Asymmetric unit:
1 Ac 0.0000 0.0000 0.0000 x4  4 Zn 3.13, 4 Ru 3.13
2 Pa 0.0000 0.0000 0.5000 x4  4 Ru 3.13, 4 Zn 3.13
3 Zn 0.2500 0.2500 0.2500 x4  4 Ac 3.13, 4 Pa 3.13
4 Ru 0.2500 0.2500 0.7500 x4  4 Ac 3.13, 4 Pa 3.13

***

This record from the Alexandria database describes crystalline Ce2DyZrS4 at its relaxed geometry. The functional is PBE-GGA.

Output
* E_form (uncorrected): -1.8764 eV/atom

abc: 6.7362 3.9266 6.7678
angles: 90.00 109.65 90.00
Last column: nearest neighbours and their distance in Å.
Space group P2/m (No. 10)
Asymmetric unit:
1 Ce 0.0000 0.0000 0.0000 x1  6 S 2.80
2 Ce 0.0000 0.5000 0.5000 x1  6 S 2.84
3 Dy 0.5000 0.0000 0.5000 x1  6 S 2.73
4 Zr 0.5000 0.5000 0.0000 x1  6 S 2.68-2.69
5 S 0.2645 0.5000 0.2494 x2  1 Zr 2.68, 2 Dy 2.73, 3 Ce 2.80-2.84
6 S 0.2677 0.0000 0.7613 x2  2 Zr 2.69, 1 Dy 2.73, 3 Ce 2.80-2.84

***

This record from the Alexandria database describes crystalline AcPrCdGa at its relaxed geometry. The functional is PBE-GGA.

Output
* total energy: -3.581 eV/atom

abc: 7.8188 7.8188 7.8188
angles: 90.00 90.00 90.00
Last column: nearest neighbours and their distance in Å.
Space group F-43m (No. 216)
Asymmetric unit:
1 Ac 0.0000 0.0000 0.0000 x4  4 Cd 3.39, 4 Ga 3.39
2 Pr 0.0000 0.0000 0.5000 x4  4 Cd 3.39, 4 Ga 3.39
3 Cd 0.2500 0.2500 0.2500 x4  4 Ac 3.39, 4 Pr 3.39
4 Ga 0.2500 0.2500 0.7500 x4  4 Ac 3.39, 4 Pr 3.39

***

This record from the Alexandria database describes crystalline Hf2Pd5Pt5 at its relaxed geometry. The functional is PBE-GGA.

Output
* total energy: -7.052 eV/atom

abc: 11.9832 3.9853 8.9712
angles: 90.00 115.83 90.00
Last column: nearest neighbours and their distance in Å.
Space group C2/m (No. 12)
Asymmetric unit:
1 Hf 0.0842 0.0000 0.2532 x4  5 Pd 2.80-2.88, 7 Pt 2.80-2.85
2 Pd 0.0000 0.0000 0.5000 x2  2 Hf 2.81, 8 Pt 2.81-2.85, 2 Pd 2.90
3 Pd 0.1671 0.0000 0.0004 x4  5 Pd 2.82-2.84, 5 Pt 2.82-2.86, 2 Hf 2.84-2.88
4 Pd 0.2460 0.5000 0.2476 x4  2 Hf 2.80, 6 Pt 2.81-2.87, 4 Pd 2.82-2.90
5 Pt 0.0000 0.5000 0.0000 x2  2 Pt 2.79, 6 Pd 2.81-2.82, 4 Hf 2.85
6 Pt 0.0811 0.5000 0.7522 x4  3 Pt 2.79-2.85, 2 Hf 2.80, 7 Pd 2.83-2.87
7 Pt 0.1661 0.5000 0.5033 x4  5 Pd 2.81-2.85, 4 Pt 2.83-2.85, 3 Hf 2.83-2.84

***

This record from the Alexandria database describes crystalline CsIn2Hg at its relaxed geometry. The functional is PBE-GGA.

Output
* total energy: -1.709 eV/atom

abc: 3.8605 3.8605 9.1345
angles: 90.00 90.00 90.00
Last column: nearest neighbours and their distance in Å.
Space group P4/mmm (No. 123)
Asymmetric unit:
1 Cs 0.0000 0.0000 0.0000 x1  4 Cs 3.86, 8 In 4.01
2 In 0.5000 0.5000 0.3208 x2  4 Hg 3.18, 1 In 3.27
3 Hg 0.0000 0.0000 0.5000 x1  8 In 3.18

***

This record from the Alexandria database describes crystalline LiCaW2 at its relaxed geometry. The functional is PBE-GGA.

Output
* total energy: -5.865 eV/atom

abc: 4.6397 4.6397 19.4531
angles: 90.00 90.00 90.00
Last column: nearest neighbours and their distance in Å.
Space group I-42d (No. 122)
Asymmetric unit:
1 Li 0.0000 0.0000 0.0000 x4  4 W 2.70
2 Ca 0.0000 0.0000 0.5000 x4  4 Li 3.28, 8 W 3.48-3.63
3 W 0.0236 0.2500 0.1250 x8  2 W 2.33

***

This record from the Alexandria database describes crystalline SmSi2Rh at its relaxed geometry. The functional is PBE-GGA.

Output
* E_form (uncorrected): -0.9099 eV/atom

abc: 4.0911 4.0911 15.1306
angles: 90.00 90.00 120.00
Last column: nearest neighbours and their distance in Å.
Space group R-3m (No. 166, hexagonal axes)
Asymmetric unit:
1 Sm 0.0000 0.0000 0.0000 x3  8 Si 3.01-3.18
2 Si 0.0000 0.0000 0.2103 x6  3 Rh 2.45, 3 Si 2.71
3 Rh 0.0000 0.0000 0.5000 x3  6 Si 2.45

***

This record from the Alexandria database describes crystalline Pr4AlI5 at its relaxed geometry. The functional is PBE-GGA.

Output
* E_form (uncorrected): -1.0938 eV/atom

abc: 19.9579 4.3581 9.2630
angles: 90.00 102.62 90.00
Last column: nearest neighbours and their distance in Å.
Space group C2/m (No. 12)
Asymmetric unit:
1 Pr 0.0001 0.0000 0.2255 x4  2 Al 3.02, 4 I 3.27-3.35
2 Pr 0.1507 0.5000 0.0765 x4  1 Al 2.94, 4 I 3.21-3.26
3 Al 0.0000 0.5000 0.0000 x2  6 Pr 2.94-3.02
4 I 0.0000 0.5000 0.5000 x2  4 Pr 3.35
5 I 0.1671 0.0000 0.3370 x4  3 Pr 3.21-3.27
6 I 0.1717 0.0000 0.8280 x4  4 Pr 3.26-3.46

***

This record from the Alexandria database describes crystalline Ac8La6Dy at its relaxed geometry. The functional is PBE-GGA.

Output
* total energy: -4.255 eV/atom

abc: 10.1449 10.1449 7.2239
angles: 90.00 90.00 120.00
Last column: nearest neighbours and their distance in Å.
Space group P-3 (No. 147)
Asymmetric unit:
1 Ac 0.0310 0.3333 0.3811 x6  4 La 3.46-3.86, 3 Ac 3.66-3.77
2 Ac 0.3333 0.6667 0.7199 x2  6 Ac 3.77-4.06, 6 La 3.91-3.97
3 La 0.0541 0.6692 0.1028 x6  1 La 3.38, 2 Ac 3.46-3.60, 1 Dy 3.74
4 Dy 0.0000 0.0000 0.0000 x1  6 La 3.74

***

This record from the Alexandria database describes crystalline Li3Pm2NpTe6 at its relaxed geometry. The functional is PBE-GGA.

Output
* E_form (uncorrected): -1.1224 eV/atom

abc: 7.6727 13.2665 7.5207
angles: 90.00 109.79 90.00
Last column: nearest neighbours and their distance in Å.
Space group C2/m (No. 12)
Asymmetric unit:
1 Li 0.0000 0.0000 0.0000 x2  6 Te 3.06-3.08
2 Li 0.0000 0.3314 0.0000 x4  6 Te 3.06-3.08
3 Pm 0.0000 0.1658 0.5000 x4  6 Te 3.15-3.17
4 Np 0.0000 0.5000 0.5000 x2  6 Te 3.14
5 Te 0.2443 0.5000 0.2395 x4  3 Li 3.08, 1 Np 3.14, 2 Pm 3.15
6 Te 0.2475 0.1656 0.2397 x8  3 Li 3.06, 1 Np 3.14, 2 Pm 3.16-3.17

***

This record from the Alexandria database describes crystalline TbHfGe at its relaxed geometry. The functional is PBE-GGA.

Output
* total energy: -6.605 eV/atom

abc: 4.6111 4.6111 3.8842
angles: 90.00 90.00 120.00
Last column: nearest neighbours and their distance in Å.
Space group P3m1 (No. 156)
Asymmetric unit:
1 Tb 0.0000 0.0000 0.0000 x1  3 Ge 3.10, 6 Hf 3.27-3.32
2 Hf 0.3333 0.6667 0.5092 x1  3 Ge 2.69
3 Ge 0.6667 0.3333 0.4094 x1  3 Hf 2.69

***

This record from the Alexandria database describes crystalline Cu6Pt5 at its relaxed geometry. The functional is PBE-GGA.

Output
* total energy: -5.105 eV/atom

abc: 4.6739 5.9933 6.0793
angles: 107.73 105.15 97.39
Last column: nearest neighbours and their distance in Å.
Space group P-1 (No. 2)
Asymmetric unit:
1 Cu 0.0900 0.3116 0.3615 x2  5 Cu 2.62-2.75, 7 Pt 2.67-2.75
2 Cu 0.1789 0.1315 0.7255 x2  6 Cu 2.62-2.72, 6 Pt 2.62-2.76
3 Cu 0.2689 0.9562 0.0888 x2  5 Pt 2.63-2.74, 7 Cu 2.65-2.72
4 Pt 0.0000 0.5000 0.0000 x1  6 Cu 2.69-2.73, 6 Pt 2.71-2.72
5 Pt 0.3580 0.7783 0.4601 x2  8 Cu 2.62-2.76, 4 Pt 2.65-2.78
6 Pt 0.4563 0.5993 0.8222 x2  7 Cu 2.63-2.75, 5 Pt 2.69-2.78

***

This record from the Alexandria database describes crystalline ErPaGaCu at its relaxed geometry. The functional is PBE-GGA.

Output
* total energy: -5.420 eV/atom

abc: 6.9970 6.9970 6.9970
angles: 90.00 90.00 90.00
Last column: nearest neighbours and their distance in Å.
Space group F-43m (No. 216)
Asymmetric unit:
1 Er 0.0000 0.0000 0.0000 x4  4 Ga 3.03, 4 Cu 3.03
2 Pa 0.0000 0.0000 0.5000 x4  4 Cu 3.03, 4 Ga 3.03
3 Ga 0.2500 0.2500 0.2500 x4  4 Pa 3.03, 4 Er 3.03
4 Cu 0.2500 0.2500 0.7500 x4  4 Pa 3.03, 4 Er 3.03

***

This record from the Alexandria database describes crystalline RbZn2Ag at its relaxed geometry. The functional is PBE-GGA.

Output
* total energy: -1.592 eV/atom

abc: 4.6013 7.5354 6.7183
angles: 90.00 90.00 90.00
Last column: nearest neighbours and their distance in Å.
Space group Pmmn (No. 59, origin choice 2)
Asymmetric unit:
1 Rb 0.2500 0.2500 0.0791 x2  4 Zn 3.52-3.72
2 Zn 0.2500 0.0716 0.5632 x4  3 Ag 2.66-2.68, 3 Zn 2.68-2.69
3 Ag 0.2500 0.7500 0.4003 x2  6 Zn 2.66-2.68

***

This record from the Alexandria database describes crystalline Dy2Be2GeRh5 at its relaxed geometry. The functional is PBE-GGA.

Output
* total energy: -6.616 eV/atom

abc: 9.6321 9.6321 3.2068
angles: 90.00 90.00 90.00
Last column: nearest neighbours and their distance in Å.
Space group P4/mbm (No. 127)
Asymmetric unit:
1 Dy 0.1761 0.3239 0.0000 x4  3 Be 2.77-2.91, 10 Rh 2.89-3.04
2 Be 0.1208 0.6208 0.0000 x4  6 Rh 2.30-2.35
3 Ge 0.0000 0.0000 0.0000 x2  8 Rh 2.66
4 Rh 0.0000 0.5000 0.5000 x2  4 Be 2.30
5 Rh 0.0665 0.7906 0.5000 x8  2 Be 2.35

***

This record from the Alexandria database describes crystalline La6SnS4 at its relaxed geometry. The functional is PBE-GGA.

Output
* E_form (uncorrected): -1.7203 eV/atom

abc: 4.2877 13.6961 21.2617
angles: 90.00 90.00 90.00
Last column: nearest neighbours and their distance in Å.
Space group Cmcm (No. 63)
Asymmetric unit:
1 La 0.0000 0.0000 0.0000 x4  6 S 2.92-2.97
2 La 0.0000 0.1659 0.2500 x4  2 S 2.87
3 La 0.0000 0.2697 0.5834 x8  5 S 2.90-2.96
4 La 0.0000 0.4602 0.1579 x8  3 S 2.85-2.94
5 Sn 0.0000 0.1581 0.7500 x4  6 La 3.23-3.33
6 S 0.0000 0.0964 0.1226 x8  6 La 2.87-2.94
7 S 0.0000 0.3628 0.0392 x8  6 La 2.85-2.97

***

| no. | total magnetic moment (μB per formula unit) |
| --- | --- |
| 1 | 0.00 |
| 2 | 3.85 |
| 3 | 0.00 |
| 4 | 0.00 |
| 5 | 0.28 |
| 6 | 1.16 |
| 7 | 0.00 |
| 8 | 0.00 |
| 9 | 0.00 |
| 10 | 0.00 |
| 11 | 0.00 |
| 12 | 0.00 |
| 13 | 0.00 |
| 14 | 4.01 |
| 15 | 0.00 |
| 16 | 0.00 |
| 17 | 0.00 |
| 18 | 0.00 |
| 19 | 0.00 |
| 20 | 1.00 |